No. 1
NbRe2SbH: optimized geometry, PBE.

a b c (Å): 5.0140 5.0140 3.3204
angles (deg): 90.00 90.00 90.00
With the nearest neighbours (Å) after each atom.
Fractional coordinates of all 5 atoms:
Nb  0.0000  0.0000  0.0000  8 Re 3.01, 2 Nb 3.32
Re  0.0000  0.5000  0.5000  2 Sb 2.51
Re  0.5000  0.0000  0.5000  2 Sb 2.51
Sb  0.5000  0.5000  0.5000  2 H 1.66
H  0.5000  0.5000  0.0000  2 Sb 1.66

Results
Total magnetization   0.000 μB/cell
Fermi-level density of states   3.19 states/eV/cell
E_tot   -0.2628 Ha/atom

***

No. 2
Nb2ReSbH: optimized geometry, PBE.

a b c (Å): 4.1839 4.1839 4.1963
angles (deg): 90.00 90.00 90.00
With the nearest neighbours (Å) after each atom.
Fractional coordinates of all 5 atoms:
Nb  0.0000  0.5000  0.0000  2 H 2.09
Nb  0.5000  0.0000  0.0000  2 H 2.09
Re  0.0000  0.0000  0.5000  2 H 2.10
Sb  0.5000  0.5000  0.5000  4 Re 2.96, 8 Nb 2.96
H  0.0000  0.0000  0.0000  4 Nb 2.09, 2 Re 2.10

Results
Total magnetization   0.000 μB/cell
Fermi-level density of states   4.27 states/eV/cell
E_tot   -0.2910 Ha/atom

***

No. 3
Nb2ReSnH: optimized geometry, PBE.

a b c (Å): 4.2197 4.2197 4.1225
angles (deg): 90.00 90.00 90.00
With the nearest neighbours (Å) after each atom.
Fractional coordinates of all 5 atoms:
Nb  0.0000  0.5000  0.0000  2 H 2.11
Nb  0.5000  0.0000  0.0000  2 H 2.11
Re  0.0000  0.0000  0.5000  2 H 2.06
Sn  0.5000  0.5000  0.5000  8 Nb 2.95, 4 Re 2.98
H  0.0000  0.0000  0.0000  2 Re 2.06, 4 Nb 2.11

Results
Total magnetization   0.000 μB/cell
Fermi-level density of states   3.24 states/eV/cell
E_tot   -0.2930 Ha/atom

***

No. 4
TaNb2ReH: optimized geometry, PBE.

a b c (Å): 3.9210 3.9210 4.7263
angles (deg): 90.00 90.00 90.00
With the nearest neighbours (Å) after each atom.
Fractional coordinates of all 5 atoms:
Ta  0.0000  0.0000  0.0000  2 H 2.36
Nb  0.0000  0.5000  0.5000  2 H 1.96
Nb  0.5000  0.0000  0.5000  2 H 1.96
Re  0.5000  0.5000  0.0000  4 Ta 2.77, 8 Nb 3.07
H  0.0000  0.0000  0.5000  4 Nb 1.96

Results
Total magnetization   0.000 μB/cell
Fermi-level density of states   1.90 states/eV/cell
E_tot   -0.3507 Ha/atom

***

No. 5
Nb2ReTcH: optimized geometry, PBE.

a b c (Å): 4.4635 4.4635 3.4416
angles (deg): 90.00 90.00 90.00
With the nearest neighbours (Å) after each atom.
Fractional coordinates of all 5 atoms:
Nb  0.0000  0.5000  0.0000  2 H 2.23
Nb  0.5000  0.0000  0.0000  2 H 2.23
Re  0.0000  0.0000  0.5000  8 Nb 2.82, 4 Tc 3.16
Tc  0.5000  0.5000  0.5000  2 H 1.72
H  0.5000  0.5000  0.0000  2 Tc 1.72

Results
Total magnetization   0.000 μB/cell
Distance to the lowest polymorph of the same formula   0 meV per atom
Fermi-level density of states   2.71 states/eV/cell
E_tot   -0.3438 Ha/atom

***

No. 6
NbReTc2H: optimized geometry, PBE.

a b c (Å): 4.0026 4.0026 4.0135
angles (deg): 90.00 90.00 90.00
With the nearest neighbours (Å) after each atom.
Fractional coordinates of all 5 atoms:
Nb  0.0000  0.0000  0.0000  4 Re 2.83, 8 Tc 2.83
Re  0.5000  0.5000  0.0000  2 H 2.01
Tc  0.0000  0.5000  0.5000  2 H 2.00
Tc  0.5000  0.0000  0.5000  2 H 2.00
H  0.5000  0.5000  0.5000  4 Tc 2.00, 2 Re 2.01

Results
Total magnetization   0.000 μB/cell
Distance to the lowest polymorph of the same formula   22 meV per atom
Fermi-level density of states   3.83 states/eV/cell
E_tot   -0.3408 Ha/atom

***

No. 7
NbReTc2H: optimized geometry, PBE.

a b c (Å): 3.9774 3.9774 4.0573
angles (deg): 90.00 90.00 90.00
With the nearest neighbours (Å) after each atom.
Fractional coordinates of all 5 atoms:
Nb  0.0000  0.0000  0.0000  2 H 2.03
Re  0.5000  0.5000  0.0000  4 Nb 2.81, 8 Tc 2.84
Tc  0.0000  0.5000  0.5000  2 H 1.99
Tc  0.5000  0.0000  0.5000  2 H 1.99
H  0.0000  0.0000  0.5000  4 Tc 1.99, 2 Nb 2.03

Results
Total magnetization   0.000 μB/cell
Distance to the lowest polymorph of the same formula   0 meV per atom
Fermi-level density of states   2.81 states/eV/cell
E_tot   -0.3416 Ha/atom

***

No. 8
Nb2ReTcH: optimized geometry, PBE.

a b c (Å): 4.4505 4.4505 3.4772
angles (deg): 90.00 90.00 90.00
With the nearest neighbours (Å) after each atom.
Fractional coordinates of all 5 atoms:
Nb  0.0000  0.5000  0.0000  2 H 2.23
Nb  0.5000  0.0000  0.0000  2 H 2.23
Re  0.0000  0.0000  0.5000  2 H 1.74
Tc  0.5000  0.5000  0.5000  8 Nb 2.82, 4 Re 3.15
H  0.0000  0.0000  0.0000  2 Re 1.74

Results
Total magnetization   0.000 μB/cell
Distance to the lowest polymorph of the same formula   51 meV per atom
Fermi-level density of states   2.84 states/eV/cell
E_tot   -0.3420 Ha/atom

***

No. 9
NbV2ReH: optimized geometry, PBE.

a b c (Å): 3.7421 3.7421 4.5151
angles (deg): 90.00 90.00 90.00
With the nearest neighbours (Å) after each atom.
Fractional coordinates of all 5 atoms:
Nb  0.0000  0.0000  0.0000  2 H 2.26
V  0.0000  0.5000  0.5000  2 H 1.87
V  0.5000  0.0000  0.5000  2 H 1.87
Re  0.5000  0.5000  0.0000  4 Nb 2.65, 8 V 2.93
H  0.0000  0.0000  0.5000  4 V 1.87

Results
Total magnetization   0.000 μB/cell
Distance to the lowest polymorph of the same formula   0 meV per atom
Fermi-level density of states   2.69 states/eV/cell
E_tot   -0.3245 Ha/atom

***

No. 10
NbV2ReH: optimized geometry, PBE.

a b c (Å): 3.7547 3.7547 4.4874
angles (deg): 90.00 90.00 90.00
With the nearest neighbours (Å) after each atom.
Fractional coordinates of all 5 atoms:
Nb  0.0000  0.0000  0.0000  4 Re 2.66, 8 V 2.93
V  0.0000  0.5000  0.5000  2 H 1.88
V  0.5000  0.0000  0.5000  2 H 1.88
Re  0.5000  0.5000  0.0000  2 H 2.24
H  0.5000  0.5000  0.5000  4 V 1.88

Results
Total magnetization   0.000 μB/cell
Distance to the lowest polymorph of the same formula   55 meV per atom
Fermi-level density of states   4.24 states/eV/cell
E_tot   -0.3224 Ha/atom

***

Question: Which formula does entry 5 have?
Answer: Nb2ReTcH

***

Copy entry 4 word for word.
TaNb2ReH: optimized geometry, PBE.

a b c (Å): 3.9210 3.9210 4.7263
angles (deg): 90.00 90.00 90.00
With the nearest neighbours (Å) after each atom.
Fractional coordinates of all 5 atoms:
Ta  0.0000  0.0000  0.0000  2 H 2.36
Nb  0.0000  0.5000  0.5000  2 H 1.96
Nb  0.5000  0.0000  0.5000  2 H 1.96
Re  0.5000  0.5000  0.0000  4 Ta 2.77, 8 Nb 3.07
H  0.0000  0.0000  0.5000  4 Nb 1.96

Results
Total magnetization   0.000 μB/cell
Fermi-level density of states   1.90 states/eV/cell
E_tot   -0.3507 Ha/atom

***

Copy entry 8 word for word.
Nb2ReTcH: optimized geometry, PBE.

a b c (Å): 4.4505 4.4505 3.4772
angles (deg): 90.00 90.00 90.00
With the nearest neighbours (Å) after each atom.
Fractional coordinates of all 5 atoms:
Nb  0.0000  0.5000  0.0000  2 H 2.23
Nb  0.5000  0.0000  0.0000  2 H 2.23
Re  0.0000  0.0000  0.5000  2 H 1.74
Tc  0.5000  0.5000  0.5000  8 Nb 2.82, 4 Re 3.15
H  0.0000  0.0000  0.0000  2 Re 1.74

Results
Total magnetization   0.000 μB/cell
Distance to the lowest polymorph of the same formula   51 meV per atom
Fermi-level density of states   2.84 states/eV/cell
E_tot   -0.3420 Ha/atom